Entry 1:
Density functional theory data (PBE) for crystalline ZnFeCl2 at its relaxed geometry.

Calculated values
Symmetry: No. 166
Crystal system: trigonal
Total magnetization (μB per cell): 0.0
Raw total energy (eV for the cell shown): -13.84
ρ (g cm⁻³): 3.586
ΔE to the lowest computed polymorph (kJ/mol of formula units): 99

Cell and atoms, written as POSCAR:
```
ZnFeCl2
1.0
1.678 0.969 9.121
-1.678 0.969 9.121
0.000 -1.938 9.121
Zn Fe Cl
1 1 2
Cartesian
0.000 0.000 0.000 Zn
0.000 0.000 13.682 Fe
0.000 0.000 5.790 Cl
0.000 0.000 21.573 Cl
```

---

Entry 2:
Density functional theory data (PBE) for crystalline LaSn2Au3 at its relaxed geometry.

Calculated values
Symmetry: No. 12
Crystal system: monoclinic
Energy of formation (meV/atom): -529.2
Total magnetization (μB per cell): 0.0
Raw total energy (eV for the cell shown): -51.88
ρ (g cm⁻³): 11.151

Cell and atoms, written as POSCAR:
```
LaSn2Au3
1.0
8.491 -2.448 0.000
8.491 2.448 0.000
-3.582 0.000 6.930
La Sn Au
2 4 6
Cartesian
1.856 0.000 0.961 La
11.543 0.000 5.969 La
0.573 0.000 4.685 Sn
7.823 0.000 1.292 Sn
5.577 0.000 5.638 Sn
12.827 0.000 2.245 Sn
15.817 0.000 2.245 Au
-2.417 0.000 4.685 Au
5.020 0.000 0.614 Au
3.409 0.000 3.736 Au
9.991 0.000 3.194 Au
8.380 0.000 6.315 Au
```

---

Entry 3:
Density functional theory data (PBE) for crystalline TbTmTlPb at its relaxed geometry.

Calculated values
Symmetry: No. 119
Crystal system: tetragonal
Energy of formation (meV/atom): -370.2
Total magnetization (μB per cell): 0.0
Raw total energy (eV for the cell shown): -16.66
ρ (g cm⁻³): 11.197
ΔE to the lowest computed polymorph (kJ/mol of formula units): 0

Cell and atoms, written as POSCAR:
```
TbTmTlPb
1.0
-2.497 2.497 4.397
2.497 -2.497 4.397
2.497 2.497 -4.397
Tb Tm Tl Pb
1 1 1 1
Cartesian
0.000 0.000 0.000 Tb
0.000 0.000 4.397 Tm
2.497 0.000 2.198 Tl
0.000 2.497 2.198 Pb
```

---

Question: What is the total magnetization in the third record?
Answer: 0.0 μB per cell